No. 1
{
  "formula": "Na2LiGe3Pd4",
  "functional": "PBE",
  "state": "optimized geometry",
  "magmom_total_mub_per_atom": 0.000,
  "final_energy_ev_per_atom": -4.35,
  "formation_enthalpy_0k_mev_per_atom": -428,
  "cell": [[-0.0129, -4.1342, -0.2040], [3.3902, -0.1276, 2.3714], [-6.1828, -0.4158, 8.8167]],
  "species": ["Na", "Na", "Li", "Ge", "Ge", "Ge", "Pd", "Pd", "Pd", "Pd"],
  "frac_coords": [[0.5000, 0.0000, 0.2536], [0.0000, 0.5000, 0.7464], [0.5000, 0.5000, 0.5000], [0.0000, 0.0000, 0.5000], [0.5000, 0.0000, 0.8664], [0.0000, 0.5000, 0.1336], [0.5000, 0.5000, 0.0000], [0.0000, 0.0000, 0.0000], [0.5000, 0.0000, 0.6380], [0.0000, 0.5000, 0.3620]]
}

***

No. 2
{
  "formula": "NaLiPrGe",
  "functional": "PBE",
  "state": "optimized geometry",
  "magmom_total_mub_per_atom": 0.000,
  "final_energy_ev_per_atom": -3.41,
  "formation_enthalpy_0k_mev_per_atom": -252,
  "cell": [[5.1202, 0.0000, 0.0000], [2.5601, 4.4343, 0.0000], [2.5601, 1.4781, 4.1807]],
  "species": ["Pr", "Na", "Ge", "Li"],
  "frac_coords": [[0.0000, 0.0000, 0.0000], [0.5000, 0.5000, 0.5000], [0.2500, 0.2500, 0.2500], [0.7500, 0.7500, 0.7500]]
}

***

No. 3
{
  "formula": "NaLiGePt",
  "functional": "PBE",
  "state": "optimized geometry",
  "magmom_total_mub_per_atom": 0.000,
  "final_energy_ev_per_atom": -3.84,
  "formation_enthalpy_0k_mev_per_atom": -368,
  "relative_energy_ev_per_fu": 0.40,
  "cell": [[4.4728, 0.0000, 0.0000], [2.2364, 3.8735, 0.0000], [2.2364, 1.2912, 3.6520]],
  "species": ["Na", "Ge", "Pt", "Li"],
  "frac_coords": [[0.0000, 0.0000, 0.0000], [0.2500, 0.2500, 0.2500], [0.5000, 0.5000, 0.5000], [0.7500, 0.7500, 0.7500]]
}

***

No. 4
{
  "formula": "NaLi2GePt",
  "functional": "PBE",
  "state": "optimized geometry",
  "magmom_total_mub_per_atom": 0.000,
  "final_energy_ev_per_atom": -3.50,
  "formation_enthalpy_0k_mev_per_atom": -344,
  "cell": [[-1.5100, -4.6535, -0.3705], [2.3045, -1.0817, 4.1943], [-3.8748, 1.0660, 2.4039]],
  "species": ["Na", "Ge", "Pt", "Li", "Li"],
  "frac_coords": [[0.5000, 0.5000, 0.5000], [0.0000, 0.0000, 0.5000], [0.0000, 0.0000, 0.0000], [0.0000, 0.5000, 0.0000], [0.5000, 0.0000, 0.0000]]
}

***

No. 5
{
  "formula": "NaLiGePt",
  "functional": "PBE",
  "state": "optimized geometry",
  "magmom_total_mub_per_atom": 0.000,
  "final_energy_ev_per_atom": -3.94,
  "formation_enthalpy_0k_mev_per_atom": -467,
  "relative_energy_ev_per_fu": 0.00,
  "cell": [[4.3120, 0.0000, 0.0000], [-2.1560, 3.7335, -0.0114], [0.0000, -2.4978, 5.0540]],
  "species": ["Na", "Li", "Ge", "Pt"],
  "frac_coords": [[0.6247, 0.2493, 0.5171], [0.8209, 0.6418, 0.1037], [0.0946, 0.1892, 0.9259], [0.4261, 0.8523, 0.9206]]
}

***

No. 6
{
  "formula": "Na2LiGe4Pt3",
  "functional": "PBE",
  "state": "optimized geometry",
  "magmom_total_mub_per_atom": 0.000,
  "final_energy_ev_per_atom": -4.53,
  "formation_enthalpy_0k_mev_per_atom": -418,
  "cell": [[4.3355, 0.0000, 0.0000], [0.0000, 4.3355, 0.0000], [0.0000, 0.0000, 10.1690]],
  "species": ["Na", "Na", "Li", "Ge", "Ge", "Ge", "Ge", "Pt", "Pt", "Pt"],
  "frac_coords": [[0.5000, 0.0000, 0.2547], [0.0000, 0.5000, 0.7453], [0.5000, 0.5000, 0.5000], [0.5000, 0.5000, 0.0000], [0.0000, 0.0000, 0.0000], [0.5000, 0.0000, 0.6276], [0.0000, 0.5000, 0.3724], [0.0000, 0.0000, 0.5000], [0.5000, 0.0000, 0.8684], [0.0000, 0.5000, 0.1316]]
}

***

No. 7
{
  "formula": "RbNaLi2Ge",
  "functional": "PBE",
  "state": "optimized geometry",
  "magmom_total_mub_per_atom": 0.000,
  "final_energy_ev_per_atom": -2.25,
  "formation_enthalpy_0k_mev_per_atom": -103,
  "cell": [[-3.5927, 0.2830, 3.7482], [2.7642, -3.3146, 2.8999], [2.7818, 4.3644, 2.3369]],
  "species": ["Na", "Ge", "Rb", "Li", "Li"],
  "frac_coords": [[0.0000, 0.0000, 0.5000], [0.0000, 0.0000, 0.0000], [0.5000, 0.5000, 0.5000], [0.0000, 0.5000, 0.0000], [0.5000, 0.0000, 0.0000]]
}

***

No. 8
{
  "formula": "Na2LiGeSb2",
  "functional": "PBE",
  "state": "optimized geometry",
  "magmom_total_mub_per_atom": 0.000,
  "final_energy_ev_per_atom": -3.24,
  "e_form_raw_ev_per_atom": -0.3342,
  "cell": [[-2.1824, -5.9664, -0.7277], [6.2623, -2.2736, -0.1394], [-2.1843, 3.2673, 7.8574]],
  "species": ["Na", "Na", "Na", "Na", "Li", "Li", "Ge", "Ge", "Sb", "Sb", "Sb", "Sb"],
  "frac_coords": [[0.4175, 0.1719, 0.3439], [0.5825, 0.8281, 0.6561], [0.0736, 0.3281, 0.6561], [0.9264, 0.6719, 0.3439], [0.0000, 0.7500, 0.0000], [0.0000, 0.2500, 0.0000], [0.5000, 0.7500, 0.0000], [0.5000, 0.2500, 0.0000], [0.8535, 0.1116, 0.2233], [0.3697, 0.6116, 0.2233], [0.6303, 0.3884, 0.7767], [0.1465, 0.8884, 0.7767]]
}

***

No. 9
{
  "formula": "NaLi2GeSe4",
  "functional": "PBE",
  "state": "optimized geometry",
  "magmom_total_mub_per_atom": 0.000,
  "final_energy_ev_per_atom": -3.69,
  "e_form_raw_ev_per_atom": -0.7308,
  "cell": [[-6.5148, 2.3396, -1.1144], [-4.0120, -2.6228, -4.1080], [-4.9528, -1.5799, 3.5811]],
  "species": ["Na", "Li", "Li", "Ge", "Se", "Se", "Se", "Se"],
  "frac_coords": [[0.0000, 0.0000, 0.0000], [0.5000, 0.7500, 0.2500], [0.5000, 0.2500, 0.7500], [0.0000, 0.5000, 0.5000], [0.6029, 0.5267, 0.8704], [0.3971, 0.1296, 0.4733], [0.0000, 0.4733, 0.1296], [0.0000, 0.8704, 0.5267]]
}

***

No. 10
{
  "formula": "NaLiGeSe2",
  "functional": "PBE",
  "state": "optimized geometry",
  "magmom_total_mub_per_atom": 0.000,
  "final_energy_ev_per_atom": -3.51,
  "e_form_raw_ev_per_atom": -0.5443,
  "cell": [[-6.4365, -1.4386, -1.4035], [2.0055, -6.7666, -2.2616], [-1.0845, -0.0622, 5.0371]],
  "species": ["Na", "Na", "Li", "Li", "Ge", "Ge", "Se", "Se", "Se", "Se"],
  "frac_coords": [[0.2931, 0.5000, 0.7500], [0.7069, 0.5000, 0.2500], [0.5010, 0.0000, 0.2500], [0.4990, 0.0000, 0.7500], [0.0000, 0.0000, 0.0000], [0.0000, 0.0000, 0.5000], [0.7174, 0.7541, 0.8766], [0.7174, 0.2459, 0.6234], [0.2826, 0.7541, 0.3766], [0.2826, 0.2459, 0.1234]]
}

***

No. 11
{
  "formula": "NaLiGeSe3",
  "functional": "PBE",
  "state": "optimized geometry",
  "magmom_total_mub_per_atom": 0.000,
  "final_energy_ev_per_atom": -3.78,
  "e_form_raw_ev_per_atom": -0.7252,
  "cell": [[-3.3203, -1.9437, -0.1440], [4.6015, -3.7351, -4.2154], [3.1875, -6.1038, 8.8878]],
  "species": ["Na", "Na", "Li", "Li", "Ge", "Ge", "Se", "Se", "Se", "Se", "Se", "Se"],
  "frac_coords": [[0.7682, 0.5365, 0.7500], [0.2318, 0.4635, 0.2500], [0.0000, 0.0000, 0.5000], [0.0000, 0.0000, 0.0000], [0.4658, 0.9317, 0.7500], [0.5342, 0.0683, 0.2500], [0.6264, 0.2528, 0.4211], [0.3736, 0.7472, 0.5789], [0.3736, 0.7472, 0.9211], [0.6264, 0.2528, 0.0789], [0.0804, 0.1607, 0.7500], [0.9196, 0.8393, 0.2500]]
}

***

No. 12
{
  "formula": "NaLiSmGe",
  "functional": "PBE",
  "state": "optimized geometry",
  "magmom_total_mub_per_atom": 0.000,
  "final_energy_ev_per_atom": -3.38,
  "formation_enthalpy_0k_mev_per_atom": -242,
  "cell": [[-2.3242, 4.1603, -1.6761], [-1.2571, 0.4001, -4.8764], [-4.8549, -0.2018, -1.3816]],
  "species": ["Na", "Ge", "Sm", "Li"],
  "frac_coords": [[0.5000, 0.5000, 0.5000], [0.2500, 0.2500, 0.2500], [0.0000, 0.0000, 0.0000], [0.7500, 0.7500, 0.7500]]
}

***

No. 13
{
  "formula": "NaLiTi2Ge",
  "functional": "PBE",
  "state": "optimized geometry",
  "magmom_total_mub_per_atom": 0.000,
  "final_energy_ev_per_atom": -3.88,
  "formation_enthalpy_0k_mev_per_atom": 850,
  "cell": [[4.5942, 0.0000, 0.0000], [0.0000, 4.3381, 0.0000], [0.0000, 0.0000, 4.5942]],
  "species": ["Na", "Ge", "Li", "Ti", "Ti"],
  "frac_coords": [[0.0000, 0.5000, 0.0000], [0.5000, 0.5000, 0.5000], [0.0000, 0.0000, 0.0000], [0.0000, 0.0000, 0.5000], [0.5000, 0.0000, 0.0000]]
}